<A>
DFT (meta-GGA SCAN) results for a PBEsol-optimized structure of Cr2ReAg.

Output
Calculated volume   54.6 Å³ per cell
M_tot   0.000 μB/atom

Lattice parameters (Å, degrees): 2.6004 2.6004 8.5596 90.00 90.00 109.45
Closest atoms and distances in Å follow each position.
Atoms (fractional coordinates):
Cr1 0.0000 0.0000 0.2347  2 Re 2.51, 4 Cr 2.60, 2 Ag 2.72
Cr2 0.0000 0.0000 0.7653  2 Re 2.51, 4 Cr 2.60, 2 Ag 2.72
Re1 0.5000 0.5000 0.0000  4 Cr 2.51, 4 Re 2.60
Ag1 0.5000 0.5000 0.5000  4 Ag 2.60, 4 Cr 2.72

---

<B>
DFT (meta-GGA SCAN) results for a PBEsol-optimized structure of Cr2ReAg.

Output
Calculated volume   56.2 Å³ per cell
M_tot   0.000 μB/atom

Lattice parameters (Å, degrees): 2.7694 3.6909 5.4958 90.00 90.00 90.00
Closest atoms and distances in Å follow each position.
Atoms (fractional coordinates):
Cr1 0.0000 0.0000 0.1979  1 Cr 2.18
Cr2 0.0000 0.0000 0.8021  1 Cr 2.18
Re1 0.5000 0.5000 0.0000  8 Cr 2.55, 2 Ag 2.75, 2 Re 2.77
Ag1 0.5000 0.5000 0.5000  2 Re 2.75, 2 Ag 2.77, 8 Cr 2.84

---

Stability summary: most stable <A>, least stable <B>.

---

<A>
DFT (meta-GGA SCAN) results for a PBEsol-optimized structure of CrAg2Rh.

Output
Calculated volume   59.7 Å³ per cell
M_tot   0.870 μB/atom

Lattice parameters (Å, degrees): 3.7766 3.7766 4.1885 90.00 90.00 90.00
Closest atoms and distances in Å follow each position.
Atoms (fractional coordinates):
Cr1 0.0000 0.0000 0.0000  4 Rh 2.67, 8 Ag 2.82
Ag1 0.0000 0.5000 0.5000  4 Ag 2.67, 4 Cr 2.82, 4 Rh 2.82
Ag2 0.5000 0.0000 0.5000  4 Ag 2.67, 4 Cr 2.82, 4 Rh 2.82
Rh1 0.5000 0.5000 0.0000  4 Cr 2.67, 8 Ag 2.82

---

<B>
DFT (meta-GGA SCAN) results for a PBEsol-optimized structure of CrAg2Rh.

Output
Calculated volume   57.6 Å³ per cell
M_tot   0.874 μB/atom

Lattice parameters (Å, degrees): 9.3239 9.3239 9.3239 16.59 16.59 16.59
Closest atoms and distances in Å follow each position.
Atoms (fractional coordinates):
Cr1 0.0000 0.0000 0.0000  6 Cr 2.69, 6 Ag 2.74
Ag1 0.2515 0.2515 0.2515  6 Ag 2.69, 3 Cr 2.74, 3 Rh 2.81
Ag2 0.7485 0.7485 0.7485  6 Ag 2.69, 3 Cr 2.74, 3 Rh 2.81
Rh1 0.5000 0.5000 0.5000  6 Rh 2.69, 6 Ag 2.81

---

Stability summary: most stable <A>, least stable <B>.

---

<A>
DFT (meta-GGA SCAN) results for a PBEsol-optimized structure of CrAgSb.

Output
Calculated volume   55.7 Å³ per cell
M_tot   1.355 μB/atom

Lattice parameters (Å, degrees): 5.0754 5.0754 5.0754 142.54 134.91 60.01
Closest atoms and distances in Å follow each position.
Atoms (fractional coordinates):
Cr1 0.0000 0.0000 0.0000  5 Sb 2.87-3.05, 5 Ag 2.93-2.94
Ag1 0.3345 0.3345 0.0000  5 Sb 2.80-3.00, 5 Cr 2.93-2.94
Sb1 0.6534 0.6534 0.0000  5 Ag 2.80-3.00, 5 Cr 2.87-3.05

---

<B>
DFT (meta-GGA SCAN) results for a PBEsol-optimized structure of CrAgSb.

Output
Calculated volume   60.3 Å³ per cell
M_tot   1.176 μB/atom

Lattice parameters (Å, degrees): 4.4027 4.4027 4.4027 60.00 60.00 60.00
Closest atoms and distances in Å follow each position.
Atoms (fractional coordinates):
Cr1 0.0000 0.0000 0.0000  4 Sb 2.70, 4 Ag 2.70
Ag1 0.2500 0.2500 0.2500  4 Cr 2.70
Sb1 0.7500 0.7500 0.7500  4 Cr 2.70

---

Stability summary: most stable <B>, least stable <A>.

---

<A>
DFT (meta-GGA SCAN) results for a PBEsol-optimized structure of CsK2Ag2.

Output
Calculated volume   204.8 Å³ per cell
M_tot   0.000 μB/atom

Lattice parameters (Å, degrees): 8.1184 8.1184 8.1184 141.61 141.61 55.42
Closest atoms and distances in Å follow each position.
Atoms (fractional coordinates):
Cs1 0.0000 0.0000 0.0000  8 Ag 4.01, 8 K 4.48
K1 0.2500 0.7500 0.5000  4 Ag 3.48, 4 K 3.77
K2 0.7500 0.2500 0.5000  4 Ag 3.48, 4 K 3.77
Ag1 0.4058 0.4058 0.0000  1 Ag 2.71
Ag2 0.5942 0.5942 0.0000  1 Ag 2.71

---

<B>
DFT (meta-GGA SCAN) results for a PBEsol-optimized structure of CsK2Ag2.

Output
Calculated volume   400.2 Å³ per cell
M_tot   0.000 μB/atom

Lattice parameters (Å, degrees): 9.1533 9.1533 4.7772 90.00 90.00 90.00
Closest atoms and distances in Å follow each position.
Atoms (fractional coordinates):
Cs1 0.0000 0.0000 0.0000  4 Ag 3.72
Cs2 0.5000 0.5000 0.0000  4 Ag 3.72
K1 0.1604 0.3396 0.5000  6 Ag 3.46-3.83
K2 0.3396 0.8396 0.5000  6 Ag 3.46-3.83
K3 0.6604 0.1604 0.5000  6 Ag 3.46-3.83
K4 0.8396 0.6604 0.5000  6 Ag 3.46-3.83
Ag1 0.1086 0.6086 0.0000  1 Ag 2.81
Ag2 0.3914 0.1086 0.0000  1 Ag 2.81
Ag3 0.6086 0.8914 0.0000  1 Ag 2.81
Ag4 0.8914 0.3914 0.0000  1 Ag 2.81

---

Stability summary: most stable <A>, least stable <B>.

---

<A>
DFT (meta-GGA SCAN) results for a PBEsol-optimized structure of CsLi3Ag.

Output
Calculated volume   139.5 Å³ per cell
M_tot   0.000 μB/atom

Lattice parameters (Å, degrees): 5.1867 5.1867 5.1867 90.00 90.00 90.00
Closest atoms and distances in Å follow each position.
Atoms (fractional coordinates):
Cs1 0.0000 0.0000 0.0000  6 Li 2.59
Li1 0.0000 0.0000 0.5000  2 Cs 2.59
Li2 0.0000 0.5000 0.0000  2 Cs 2.59
Li3 0.5000 0.0000 0.0000  2 Cs 2.59
Ag1 0.5000 0.5000 0.5000  12 Li 3.67

---

<B>
DFT (meta-GGA SCAN) results for a PBEsol-optimized structure of CsLi3Ag.

Output
Calculated volume   154.8 Å³ per cell
M_tot   0.000 μB/atom

Lattice parameters (Å, degrees): 5.3696 5.3696 5.3696 90.00 90.00 90.00
Closest atoms and distances in Å follow each position.
Atoms (fractional coordinates):
Cs1 0.0000 0.0000 0.0000  12 Li 3.80
Li1 0.0000 0.5000 0.5000  2 Ag 2.68
Li2 0.5000 0.0000 0.5000  2 Ag 2.68
Li3 0.5000 0.5000 0.0000  2 Ag 2.68
Ag1 0.5000 0.5000 0.5000  6 Li 2.68

---

Stability summary: most stable <B>, least stable <A>.

---

<A>
DFT (meta-GGA SCAN) results for a PBEsol-optimized structure of CsNa3Ag.

Output
Calculated volume   206.4 Å³ per cell
M_tot   0.000 μB/atom

Lattice parameters (Å, degrees): 5.9101 5.9101 5.9101 90.00 90.00 90.00
Closest atoms and distances in Å follow each position.
Atoms (fractional coordinates):
Cs1 0.0000 0.0000 0.0000  12 Na 4.18
Na1 0.0000 0.5000 0.5000  2 Ag 2.96
Na2 0.5000 0.0000 0.5000  2 Ag 2.96
Na3 0.5000 0.5000 0.0000  2 Ag 2.96
Ag1 0.5000 0.5000 0.5000  6 Na 2.96

---

<B>
DFT (meta-GGA SCAN) results for a PBEsol-optimized structure of CsNa3Ag.

Output
Calculated volume   292.5 Å³ per cell
M_tot   0.000 μB/atom

Lattice parameters (Å, degrees): 6.6380 6.6380 6.6380 90.00 90.00 90.00
Closest atoms and distances in Å follow each position.
Atoms (fractional coordinates):
Cs1 0.0000 0.0000 0.0000  6 Na 3.32
Na1 0.0000 0.0000 0.5000  2 Cs 3.32
Na2 0.0000 0.5000 0.0000  2 Cs 3.32
Na3 0.5000 0.0000 0.0000  2 Cs 3.32
Ag1 0.5000 0.5000 0.5000  12 Na 4.69

---

Stability summary: most stable <A>, least stable <B>.